## a
VASP calculation (PBE) on crystalline TiVPd2 at its relaxed geometry.

Summary:
The crystal system is tetragonal.

a = 2.7557 Å, b = 2.7557 Å, c = 7.8417 Å
α = 90.00°, β = 90.00°, γ = 90.00°
Atoms (fractional coordinates):
Pd1 0.0000 0.0000 0.7436
Pd2 0.0000 0.0000 0.2564
Ti1 0.5000 0.5000 0.0000
V1 0.5000 0.5000 0.5000

=====

## b
VASP calculation (PBE) on crystalline TiVPd2 at its relaxed geometry.

Summary:
The crystal system is tetragonal.

a = 3.8817 Å, b = 3.9341 Å, c = 3.9341 Å
α = 90.00°, β = 90.00°, γ = 90.00°
Atoms (fractional coordinates):
Ti1 0.5000 0.0000 0.0000
Pd1 0.0000 0.5000 0.0000
Pd2 0.0000 0.0000 0.5000
V1 0.5000 0.5000 0.5000

=====

If you had to name the least stable structure above, which would it be? It would be a.